KCd2Br: relaxed, PBE.

abc: 5.931 5.931 5.931
angles: 60.00 60.00 60.00
Positions (direct):
Br (0.500, 0.500, 0.500)
K (0.000, 0.000, 0.000)
Cd (0.250, 0.250, 0.250)
Cd (0.750, 0.750, 0.750)

=====

KCdBr2: relaxed, PBE.

abc: 5.937 5.846 9.293
angles: 108.49 108.63 90.00
Positions (direct):
Cd (0.042, 0.919, 0.071)
Cd (0.042, 0.419, 0.071)
K (0.542, 0.919, 0.571)
K (0.042, 0.419, 0.571)
Br (0.931, 0.805, 0.344)
Br (0.427, 0.305, 0.344)
Br (0.154, 0.032, 0.798)
Br (0.658, 0.532, 0.798)

=====

KCd3Br: relaxed, PBE.

abc: 6.604 6.604 6.604
angles: 90.00 90.00 90.00
Positions (direct):
Cd (0.000, 0.000, 0.500)
Cd (0.500, 0.000, 0.000)
Cd (0.000, 0.500, 0.000)
K (0.000, 0.000, 0.000)
Br (0.500, 0.500, 0.500)

=====

KCdBr4: relaxed, PBE.

abc: 6.612 6.612 6.612
angles: 60.00 60.00 60.00
Positions (direct):
K (0.000, 0.000, 0.000)
Br (0.375, 0.375, 0.874)
Br (0.375, 0.375, 0.375)
Br (0.874, 0.375, 0.375)
Br (0.375, 0.874, 0.375)
Cd (0.750, 0.750, 0.750)

=====

It is found that the uncorrected formation energy values, taken in the order of the records, are -0.33 -0.96 0.16 -0.17 eV/atom.